# MnCdPbCl6 PBE optimized geometry
# density of states at the Fermi level: 0.0000 states/eV/atom
data_MnCdPbCl6
_chemical_formula_sum 'Mn2 Cd2 Pb2 Cl12'
_cell_length_a 6.7126
_cell_length_b 6.7126
_cell_length_c 12.5475
_cell_angle_alpha 90.00
_cell_angle_beta 90.00
_cell_angle_gamma 120.00
_symmetry_space_group_name_H-M 'P -3 1 c'
_symmetry_Int_Tables_number 163
_symmetry_space_group_name_Hall '-P 3 2c'
loop_
_atom_site_label
_atom_site_type_symbol
_atom_site_fract_x
_atom_site_fract_y
_atom_site_fract_z
Mn1 Mn 0.3333 0.6667 0.2500
Cd1 Cd 0.3333 0.6667 0.7500
Pb1 Pb 0.0000 0.0000 0.0000
Cl1 Cl 0.0138 0.3658 0.1341

## Rb3MnCd2Cl9 (PBE)

Data for crystalline Rb3MnCd2Cl9 at its relaxed geometry.

CIF file:
```
data_Rb3MnCd2Cl9
_chemical_formula_sum 'Rb3 Mn1 Cd2 Cl9'
_cell_length_a 7.3708
_cell_length_b 7.3708
_cell_length_c 9.0320
_cell_angle_alpha 90.00
_cell_angle_beta 90.00
_cell_angle_gamma 120.00
_symmetry_space_group_name_H-M 'P -3 m 1'
_symmetry_Int_Tables_number 164
_symmetry_space_group_name_Hall '-P 3 2"'
loop_
_atom_site_label
_atom_site_type_symbol
_atom_site_fract_x
_atom_site_fract_y
_atom_site_fract_z
Rb1 Rb 0.0000 0.0000 0.0000
Rb2 Rb 0.3333 0.6667 0.6676
Mn1 Mn 0.0000 0.0000 0.5000
Cd1 Cd 0.3333 0.6667 0.1733
Cl1 Cl 0.0000 0.5000 0.0000
Cl2 Cl 0.1623 0.3245 0.3393
```

# RbMnCdCl5 PBE optimized geometry
# density of states at the Fermi level: 0.0000 states/eV/atom
data_RbMnCdCl5
_chemical_formula_sum 'Rb4 Mn4 Cd4 Cl20'
_cell_length_a 8.9834
_cell_length_b 12.2168
_cell_length_c 9.5436
_cell_angle_alpha 90.00
_cell_angle_beta 112.29
_cell_angle_gamma 90.00
_symmetry_space_group_name_H-M 'C 1 2/c 1'
_symmetry_Int_Tables_number 15
loop_
_symmetry_equiv_pos_as_xyz
'x,y,z'
'-x,-y,-z'
'-x,y,-z+1/2'
'x,-y,z+1/2'
'x+1/2,y+1/2,z'
'-x+1/2,-y+1/2,-z'
'-x+1/2,y+1/2,-z+1/2'
'x+1/2,-y+1/2,z+1/2'
loop_
_atom_site_label
_atom_site_type_symbol
_atom_site_fract_x
_atom_site_fract_y
_atom_site_fract_z
Rb1 Rb 0.0000 0.1560 0.2500
Mn1 Mn 0.0000 0.1872 0.7500
Cd1 Cd 0.0000 0.5000 0.0000
Cl1 Cl 0.0000 0.4245 0.2500
Cl2 Cl 0.1082 0.2968 0.6078
Cl3 Cl 0.1853 0.0710 0.9319

# RbMn2CdCl8 PBE optimized geometry
# density of states at the Fermi level: 0.8769 states/eV/atom
data_RbMn2CdCl8
_chemical_formula_sum 'Rb1 Mn2 Cd1 Cl8'
_cell_length_a 6.6322
_cell_length_b 6.6322
_cell_length_c 9.3145
_cell_angle_alpha 90.00
_cell_angle_beta 90.00
_cell_angle_gamma 120.00
_symmetry_space_group_name_H-M 'P -3'
_symmetry_Int_Tables_number 147
loop_
_symmetry_equiv_pos_as_xyz
'x,y,z'
'-x,-y,-z'
'-y,x-y,z'
'y,-x+y,-z'
'-x+y,-x,z'
'x-y,x,-z'
loop_
_atom_site_label
_atom_site_type_symbol
_atom_site_fract_x
_atom_site_fract_y
_atom_site_fract_z
Rb1 Rb 0.0000 0.0000 0.0000
Mn1 Mn 0.3333 0.6667 0.7342
Cd1 Cd 0.0000 0.0000 0.5000
Cl1 Cl 0.0032 0.3220 0.6726
Cl2 Cl 0.3333 0.6667 0.9728

# MnCdS2Cl PBE optimized geometry
# density of states at the Fermi level: 1.1969 states/eV/atom
# energy above the lowest structure with this stoichiometry: 0.0000 eV per atom
data_MnCdS2Cl
_chemical_formula_sum 'Mn1 Cd1 S2 Cl1'
_cell_length_a 4.4235
_cell_length_b 4.4235
_cell_length_c 4.9269
_cell_angle_alpha 90.00
_cell_angle_beta 90.00
_cell_angle_gamma 90.00
_symmetry_space_group_name_H-M 'P 4/m m m'
_symmetry_Int_Tables_number 123
_symmetry_space_group_name_Hall '-P 4 2'
loop_
_atom_site_label
_atom_site_type_symbol
_atom_site_fract_x
_atom_site_fract_y
_atom_site_fract_z
Mn1 Mn 0.0000 0.0000 0.0000
Cd1 Cd 0.5000 0.5000 0.5000
S1 S 0.0000 0.5000 0.0000
Cl1 Cl 0.0000 0.0000 0.5000

# MnCdS2Cl PBE optimized geometry
# density of states at the Fermi level: 0.5457 states/eV/atom
# energy above the lowest structure with this stoichiometry: 0.3876 eV per atom
data_MnCdS2Cl
_chemical_formula_sum 'Mn1 Cd1 S2 Cl1'
_cell_length_a 4.9691
_cell_length_b 4.9691
_cell_length_c 5.0850
_cell_angle_alpha 90.00
_cell_angle_beta 90.00
_cell_angle_gamma 90.00
_symmetry_space_group_name_H-M 'P 4/m m m'
_symmetry_Int_Tables_number 123
_symmetry_space_group_name_Hall '-P 4 2'
loop_
_atom_site_label
_atom_site_type_symbol
_atom_site_fract_x
_atom_site_fract_y
_atom_site_fract_z
Mn1 Mn 0.0000 0.0000 0.0000
Cd1 Cd 0.5000 0.5000 0.5000
S1 S 0.0000 0.5000 0.5000
Cl1 Cl 0.5000 0.5000 0.0000

# Mn2CdSnCl PBE optimized geometry
# density of states at the Fermi level: 0.7596 states/eV/atom
data_Mn2CdSnCl
_chemical_formula_sum 'Mn2 Cd1 Sn1 Cl1'
_cell_length_a 5.2442
_cell_length_b 5.2442
_cell_length_c 5.5410
_cell_angle_alpha 90.00
_cell_angle_beta 90.00
_cell_angle_gamma 90.00
_symmetry_space_group_name_H-M 'P 4/m m m'
_symmetry_Int_Tables_number 123
_symmetry_space_group_name_Hall '-P 4 2'
loop_
_atom_site_label
_atom_site_type_symbol
_atom_site_fract_x
_atom_site_fract_y
_atom_site_fract_z
Mn1 Mn 0.0000 0.5000 0.0000
Cd1 Cd 0.0000 0.0000 0.5000
Sn1 Sn 0.0000 0.0000 0.0000
Cl1 Cl 0.5000 0.5000 0.5000

# SrMn2CdCl8 PBE optimized geometry
# density of states at the Fermi level: 0.0000 states/eV/atom
data_SrMn2CdCl8
_chemical_formula_sum 'Sr1 Mn2 Cd1 Cl8'
_cell_length_a 6.1602
_cell_length_b 7.9189
_cell_length_c 6.4123
_cell_angle_alpha 90.00
_cell_angle_beta 90.75
_cell_angle_gamma 90.00
_symmetry_space_group_name_H-M 'P 1 2/m 1'
_symmetry_Int_Tables_number 10
loop_
_symmetry_equiv_pos_as_xyz
'x,y,z'
'-x,-y,-z'
'-x,y,-z'
'x,-y,z'
loop_
_atom_site_label
_atom_site_type_symbol
_atom_site_fract_x
_atom_site_fract_y
_atom_site_fract_z
Sr1 Sr 0.0000 0.0000 0.0000
Mn1 Mn 0.5000 0.2582 0.5000
Cd1 Cd 0.0000 0.5000 0.0000
Cl1 Cl 0.2451 0.2683 0.1820
Cl2 Cl 0.2819 0.5000 0.6610
Cl3 Cl 0.2938 0.0000 0.6485

# SrMn2CdCl PBE optimized geometry
# density of states at the Fermi level: 0.2977 states/eV/atom
data_SrMn2CdCl
_chemical_formula_sum 'Sr1 Mn2 Cd1 Cl1'
_cell_length_a 6.3008
_cell_length_b 6.3008
_cell_length_c 5.4561
_cell_angle_alpha 90.00
_cell_angle_beta 90.00
_cell_angle_gamma 90.00
_symmetry_space_group_name_H-M 'P 4/m m m'
_symmetry_Int_Tables_number 123
_symmetry_space_group_name_Hall '-P 4 2'
loop_
_atom_site_label
_atom_site_type_symbol
_atom_site_fract_x
_atom_site_fract_y
_atom_site_fract_z
Sr1 Sr 0.0000 0.0000 0.0000
Mn1 Mn 0.0000 0.5000 0.0000
Cd1 Cd 0.5000 0.5000 0.5000
Cl1 Cl 0.0000 0.0000 0.5000

# MnTl2CdCl6 PBE optimized geometry
# density of states at the Fermi level: 0.0000 states/eV/atom
data_MnTl2CdCl6
_chemical_formula_sum 'Mn1 Tl2 Cd1 Cl6'
_cell_length_a 7.1980
_cell_length_b 7.2021
_cell_length_c 7.2039
_cell_angle_alpha 60.93
_cell_angle_beta 60.93
_cell_angle_gamma 60.99
_symmetry_space_group_name_H-M 'P -1'
_symmetry_Int_Tables_number 2
loop_
_symmetry_equiv_pos_as_xyz
'x,y,z'
'-x,-y,-z'
loop_
_atom_site_label
_atom_site_type_symbol
_atom_site_fract_x
_atom_site_fract_y
_atom_site_fract_z
Mn1 Mn 0.0000 0.0000 0.0000
Tl1 Tl 0.2477 0.2461 0.2473
Cd1 Cd 0.5000 0.5000 0.5000
Cl1 Cl 0.1859 0.3012 0.7582
Cl2 Cl 0.2431 0.8125 0.7003
Cl3 Cl 0.2999 0.7606 0.1872

# MnTlCdCl6 PBE optimized geometry
# density of states at the Fermi level: 0.6087 states/eV/atom
data_MnTlCdCl6
_chemical_formula_sum 'Mn2 Tl2 Cd2 Cl12'
_cell_length_a 6.6564
_cell_length_b 6.6564
_cell_length_c 13.7518
_cell_angle_alpha 90.00
_cell_angle_beta 90.00
_cell_angle_gamma 120.00
_symmetry_space_group_name_H-M 'P -3 1 c'
_symmetry_Int_Tables_number 163
_symmetry_space_group_name_Hall '-P 3 2c'
loop_
_atom_site_label
_atom_site_type_symbol
_atom_site_fract_x
_atom_site_fract_y
_atom_site_fract_z
Mn1 Mn 0.3333 0.6667 0.2500
Tl1 Tl 0.0000 0.0000 0.0000
Cd1 Cd 0.3333 0.6667 0.7500
Cl1 Cl 0.0290 0.3863 0.1473

# MnTlCd2Cl6 PBE optimized geometry
# density of states at the Fermi level: 0.1884 states/eV/atom
data_MnTlCd2Cl6
_chemical_formula_sum 'Mn4 Tl4 Cd8 Cl24'
_cell_length_a 13.3045
_cell_length_b 12.5552
_cell_length_c 9.1518
_cell_angle_alpha 90.00
_cell_angle_beta 123.85
_cell_angle_gamma 90.00
_symmetry_space_group_name_H-M 'C 1 2/c 1'
_symmetry_Int_Tables_number 15
loop_
_symmetry_equiv_pos_as_xyz
'x,y,z'
'-x,-y,-z'
'-x,y,-z+1/2'
'x,-y,z+1/2'
'x+1/2,y+1/2,z'
'-x+1/2,-y+1/2,-z'
'-x+1/2,y+1/2,-z+1/2'
'x+1/2,-y+1/2,z+1/2'
loop_
_atom_site_label
_atom_site_type_symbol
_atom_site_fract_x
_atom_site_fract_y
_atom_site_fract_z
Mn1 Mn 0.0000 0.1608 0.2500
Tl1 Tl 0.0000 0.1683 0.7500
Cd1 Cd 0.1308 0.4584 0.5986
Cl1 Cl 0.1122 0.2538 0.5180
Cl2 Cl 0.1242 0.0506 0.2051
Cl3 Cl 0.1545 0.4129 0.8981

# MnCdWCl2 PBE optimized geometry
# density of states at the Fermi level: 0.5595 states/eV/atom
data_MnCdWCl2
_chemical_formula_sum 'Mn1 Cd1 W1 Cl2'
_cell_length_a 4.6468
_cell_length_b 4.6468
_cell_length_c 5.4932
_cell_angle_alpha 90.00
_cell_angle_beta 90.00
_cell_angle_gamma 90.00
_symmetry_space_group_name_H-M 'P 4/m m m'
_symmetry_Int_Tables_number 123
_symmetry_space_group_name_Hall '-P 4 2'
loop_
_atom_site_label
_atom_site_type_symbol
_atom_site_fract_x
_atom_site_fract_y
_atom_site_fract_z
Mn1 Mn 0.0000 0.0000 0.0000
Cd1 Cd 0.5000 0.5000 0.0000
W1 W 0.0000 0.0000 0.5000
Cl1 Cl 0.0000 0.5000 0.5000

# CdMoCl2 PBE optimized geometry
# density of states at the Fermi level: 0.4345 states/eV/atom
# energy above the lowest structure with this stoichiometry: 0.5725 eV per atom
data_CdMoCl2
_chemical_formula_sum 'Cd1 Mo1 Cl2'
_cell_length_a 3.2952
_cell_length_b 4.3948
_cell_length_c 5.7949
_cell_angle_alpha 90.00
_cell_angle_beta 90.00
_cell_angle_gamma 90.00
_symmetry_space_group_name_H-M 'P m m m'
_symmetry_Int_Tables_number 47
loop_
_symmetry_equiv_pos_as_xyz
'x,y,z'
'-x,-y,-z'
'-x,-y,z'
'x,y,-z'
'x,-y,-z'
'-x,y,z'
'-x,y,-z'
'x,-y,z'
loop_
_atom_site_label
_atom_site_type_symbol
_atom_site_fract_x
_atom_site_fract_y
_atom_site_fract_z
Cd1 Cd 0.0000 0.0000 0.0000
Mo1 Mo 0.5000 0.0000 0.5000
Cl1 Cl 0.0000 0.5000 0.5000
Cl2 Cl 0.5000 0.5000 0.0000

# CdMo2Cl PBE optimized geometry
# density of states at the Fermi level: 0.5870 states/eV/atom
# energy above the lowest structure with this stoichiometry: 0.5063 eV per atom
data_CdMo2Cl
_chemical_formula_sum 'Cd1 Mo2 Cl1'
_cell_length_a 3.2872
_cell_length_b 5.0793
_cell_length_c 4.9994
_cell_angle_alpha 90.00
_cell_angle_beta 96.77
_cell_angle_gamma 90.00
_symmetry_space_group_name_H-M 'P 1 2/m 1'
_symmetry_Int_Tables_number 10
loop_
_symmetry_equiv_pos_as_xyz
'x,y,z'
'-x,-y,-z'
'-x,y,-z'
'x,-y,z'
loop_
_atom_site_label
_atom_site_type_symbol
_atom_site_fract_x
_atom_site_fract_y
_atom_site_fract_z
Cd1 Cd 0.0000 0.0000 0.0000
Mo1 Mo 0.3073 0.5000 0.1758
Cl1 Cl 0.5000 0.0000 0.5000

# CdMoCl2 PBE optimized geometry
# density of states at the Fermi level: 0.4451 states/eV/atom
# energy above the lowest structure with this stoichiometry: 0.2159 eV per atom
data_CdMoCl2
_chemical_formula_sum 'Cd1 Mo1 Cl2'
_cell_length_a 3.1043
_cell_length_b 3.1043
_cell_length_c 8.3975
_cell_angle_alpha 90.00
_cell_angle_beta 90.00
_cell_angle_gamma 90.00
_symmetry_space_group_name_H-M 'P 4 m m'
_symmetry_Int_Tables_number 99
loop_
_symmetry_equiv_pos_as_xyz
'x,y,z'
'-y,x,z'
'-x,-y,z'
'y,-x,z'
'-x,y,z'
'y,x,z'
'x,-y,z'
'-y,-x,z'
loop_
_atom_site_label
_atom_site_type_symbol
_atom_site_fract_x
_atom_site_fract_y
_atom_site_fract_z
Cd1 Cd 0.0000 0.0000 0.0000
Mo1 Mo 0.5000 0.5000 0.7440
Cl1 Cl 0.0000 0.0000 0.5860
Cl2 Cl 0.5000 0.5000 0.2062

# CdMo2Cl PBE optimized geometry
# density of states at the Fermi level: 0.5865 states/eV/atom
# energy above the lowest structure with this stoichiometry: 0.8674 eV per atom
data_CdMo2Cl
_chemical_formula_sum 'Cd4 Mo8 Cl4'
_cell_length_a 6.5617
_cell_length_b 6.5617
_cell_length_c 6.5617
_cell_angle_alpha 90.00
_cell_angle_beta 90.00
_cell_angle_gamma 90.00
_symmetry_space_group_name_H-M 'F -4 3 m'
_symmetry_Int_Tables_number 216
_symmetry_space_group_name_Hall 'F -4 2 3'
loop_
_atom_site_label
_atom_site_type_symbol
_atom_site_fract_x
_atom_site_fract_y
_atom_site_fract_z
Cd1 Cd 0.0000 0.0000 0.0000
Mo1 Mo 0.0000 0.0000 0.5000
Mo2 Mo 0.2500 0.2500 0.2500
Cl1 Cl 0.2500 0.2500 0.7500

# CdMoCl2 PBE optimized geometry
# density of states at the Fermi level: 0.4158 states/eV/atom
# energy above the lowest structure with this stoichiometry: 0.0150 eV per atom
data_CdMoCl2
_chemical_formula_sum 'Cd2 Mo2 Cl4'
_cell_length_a 3.0042
_cell_length_b 5.2233
_cell_length_c 13.2759
_cell_angle_alpha 90.00
_cell_angle_beta 90.00
_cell_angle_gamma 90.00
_symmetry_space_group_name_H-M 'I m m m'
_symmetry_Int_Tables_number 71
_symmetry_space_group_name_Hall '-I 2 2'
loop_
_atom_site_label
_atom_site_type_symbol
_atom_site_fract_x
_atom_site_fract_y
_atom_site_fract_z
Cd1 Cd 0.0000 0.0000 0.0000
Mo1 Mo 0.0000 0.0000 0.5000
Cl1 Cl 0.0000 0.5000 0.1488

# CdMoCl2 PBE optimized geometry
# density of states at the Fermi level: 0.4961 states/eV/atom
# energy above the lowest structure with this stoichiometry: 0.3652 eV per atom
data_CdMoCl2
_chemical_formula_sum 'Cd1 Mo1 Cl2'
_cell_length_a 3.0170
_cell_length_b 4.2750
_cell_length_c 5.9441
_cell_angle_alpha 90.00
_cell_angle_beta 90.51
_cell_angle_gamma 90.00
_symmetry_space_group_name_H-M 'P 1 2/m 1'
_symmetry_Int_Tables_number 10
loop_
_symmetry_equiv_pos_as_xyz
'x,y,z'
'-x,-y,-z'
'-x,y,-z'
'x,-y,z'
loop_
_atom_site_label
_atom_site_type_symbol
_atom_site_fract_x
_atom_site_fract_y
_atom_site_fract_z
Cd1 Cd 0.0000 0.0000 0.0000
Mo1 Mo 0.5000 0.0000 0.5000
Cl1 Cl 0.4976 0.5000 0.2690

# CdMoCl2 PBE optimized geometry
# density of states at the Fermi level: 1.0193 states/eV/atom
# energy above the lowest structure with this stoichiometry: 0.0000 eV per atom
data_CdMoCl2
_chemical_formula_sum 'Cd3 Mo3 Cl6'
_cell_length_a 3.2718
_cell_length_b 3.2718
_cell_length_c 26.7914
_cell_angle_alpha 90.00
_cell_angle_beta 90.00
_cell_angle_gamma 120.00
_symmetry_space_group_name_H-M 'R 3 m'
_symmetry_Int_Tables_number 160
_symmetry_space_group_name_Hall 'R 3 -2"'
loop_
_atom_site_label
_atom_site_type_symbol
_atom_site_fract_x
_atom_site_fract_y
_atom_site_fract_z
Cd1 Cd 0.0000 0.0000 0.0000
Mo1 Mo 0.0000 0.0000 0.7535
Cl1 Cl 0.0000 0.0000 0.2640
Cl2 Cl 0.0000 0.0000 0.4769

Values for uncorrected energy, eV per atom, ordered as above
-3.8654, -3.4816, -3.8539, -4.0689, -4.0488, -3.6612, -4.4848, -4.3576, -3.8362, -3.6407, -3.6252, -3.3538, -4.8352, -3.5484, -5.5418, -3.9049, -5.1806, -4.1059, -3.7557, -4.1209